VASP calculation (PBE) on a geometry-optimized CsBe3O structure.

Cell and atoms, written as POSCAR:
```
CsBe3O
1.0
-1.2641 -0.8980 -4.0281
4.0178 -1.2305 -0.9866
-0.9431 -4.0385 1.1963
Cs Be O
1 3 1
direct
0.5000 0.5000 0.5000
0.0000 0.5000 0.0000
0.0000 0.0000 0.5000
0.5000 0.0000 0.0000
0.0000 0.0000 0.0000
```

Total moment (μB per atom): 0.00
Formation energy from raw total energies (eV/atom): 1.1653
DOS(E_F) (states/eV/atom): 0.685